[1]
First-principles (GGA-PBE) data for a geometry-optimized Rb3Sr2S2Br3 structure, as listed in the Alexandria database.

Computed properties:
- Theoretical density: 2.77 g/cm3
- Raw formation energy: -1713 meV/atom

Cell lengths 5.439, 5.439, 15.392 Å; angles 100.18, 100.18, 90.00 degrees
Fractional coordinates of all 10 atoms:
Rb 0.889 0.889 0.778
Rb 0.500 0.500 0.000
Rb 0.111 0.111 0.222
Sr 0.750 0.250 0.500
Sr 0.250 0.750 0.500
S 0.780 0.780 0.561
S 0.220 0.220 0.439
Br 0.620 0.620 0.240
Br 0.380 0.380 0.760
Br 0.000 0.000 0.000

---

[2]
First-principles (GGA-PBE) data for a geometry-optimized Rb2TaSBr5 structure, as listed in the Alexandria database.

Computed properties:
- Theoretical density: 4.15 g/cm3
- Raw formation energy: -1304 meV/atom

Cell lengths 7.688, 7.688, 7.688 Å; angles 87.25, 121.60, 121.60 degrees
Fractional coordinates of all 9 atoms:
Rb 0.500 0.252 0.752
Rb 0.500 0.752 0.252
Ta 0.000 0.977 0.977
S 0.000 0.779 0.779
Br 0.483 0.245 0.245
Br 0.517 0.761 0.761
Br 0.000 0.761 0.245
Br 0.000 0.245 0.761
Br 0.000 0.230 0.230

---

[3]
First-principles (GGA-PBE) data for a geometry-optimized Rb2TaSBr6 structure, as listed in the Alexandria database.

Computed properties:
- Theoretical density: 3.81 g/cm3
- Raw formation energy: -861 meV/atom

Cell lengths 8.529, 8.529, 7.950 Å; angles 57.56, 57.56, 90.00 degrees
Each line ends with the local moment (μB).
Fractional coordinates of all 10 atoms:
S 0.500 0.500 0.000  0.15
Br 0.247 0.247 0.506  0.01
Br 0.753 0.753 0.494  0.01
Br 0.214 0.214 0.000  0.00
Br 0.786 0.786 0.000  0.00
Br 0.786 0.214 0.000  0.00
Br 0.214 0.786 0.000  0.00
Rb 0.750 0.250 0.500  0.00
Rb 0.250 0.750 0.500  0.00
Ta 0.000 0.000 0.000  0.40

---

[4]
First-principles (GGA-PBE) data for a geometry-optimized Rb2TcSBr5 structure, as listed in the Alexandria database.

Computed properties:
- Theoretical density: 3.84 g/cm3
- Raw formation energy: -915 meV/atom

Cell lengths 7.487, 7.487, 7.487 Å; angles 92.36, 118.65, 118.65 degrees
Each line ends with the local moment (μB).
Fractional coordinates of all 9 atoms:
Rb 0.500 0.252 0.752  0.00
Rb 0.500 0.752 0.252  0.00
Tc 0.000 0.982 0.982  1.50
S 0.000 0.774 0.774  0.09
Br 0.473 0.237 0.237  0.03
Br 0.527 0.764 0.764  0.03
Br 0.000 0.764 0.237  0.03
Br 0.000 0.237 0.764  0.03
Br 0.000 0.238 0.238  -0.01

---

[5]
First-principles (GGA-PBE) data for a geometry-optimized RbTeS2Br structure, as listed in the Alexandria database.

Computed properties:
- Theoretical density: 3.79 g/cm3
- Raw formation energy: -413 meV/atom

Cell lengths 5.171, 5.171, 5.846 Å; angles 90.00, 90.00, 90.00 degrees
Fractional coordinates of all 5 atoms:
S 0.000 0.500 0.000
S 0.500 0.000 0.000
Te 0.000 0.000 0.000
Br 0.000 0.000 0.500
Rb 0.500 0.500 0.500

---

[6]
First-principles (GGA-PBE) data for a geometry-optimized Rb2TeSBr6 structure, as listed in the Alexandria database.

Computed properties:
- Theoretical density: 3.83 g/cm3
- Raw formation energy: -732 meV/atom

Cell lengths 8.012, 8.012, 7.874 Å; angles 59.42, 59.42, 90.00 degrees
Fractional coordinates of all 10 atoms:
S 0.500 0.500 0.000
Te 0.000 0.000 0.000
Br 0.260 0.260 0.480
Br 0.740 0.740 0.520
Br 0.248 0.248 0.000
Br 0.752 0.752 0.000
Br 0.752 0.248 0.000
Br 0.248 0.752 0.000
Rb 0.750 0.250 0.500
Rb 0.250 0.750 0.500

---

[7]
First-principles (GGA-PBE) data for a geometry-optimized RbTeSBr2 structure, as listed in the Alexandria database.

Computed properties:
- Theoretical density: 3.81 g/cm3
- Raw formation energy: -616 meV/atom

Cell lengths 5.904, 5.904, 5.062 Å; angles 90.00, 90.00, 90.00 degrees
Fractional coordinates of all 5 atoms:
S 0.000 0.000 0.500
Te 0.000 0.000 0.000
Br 0.000 0.500 0.000
Br 0.500 0.000 0.000
Rb 0.500 0.500 0.500

---

[8]
First-principles (GGA-PBE) data for a geometry-optimized Rb2ThS2Br2 structure, as listed in the Alexandria database.

Computed properties:
- Theoretical density: 3.96 g/cm3
- Raw formation energy: -1778 meV/atom

Cell lengths 5.468, 5.468, 9.598 Å; angles 106.55, 106.55, 90.00 degrees
Fractional coordinates of all 7 atoms:
Rb 0.370 0.370 0.740
Rb 0.630 0.630 0.260
Th 0.000 0.000 0.000
S 0.000 0.500 0.000
S 0.500 0.000 0.000
Br 0.168 0.168 0.336
Br 0.832 0.832 0.664

---

[9]
First-principles (GGA-PBE) data for a geometry-optimized Rb2TiSBr6 structure, as listed in the Alexandria database.

Computed properties:
- Theoretical density: 3.48 g/cm3
- Raw formation energy: -996 meV/atom

Cell lengths 7.567, 7.567, 8.097 Å; angles 62.14, 62.14, 90.00 degrees
Fractional coordinates of all 10 atoms:
S 0.500 0.500 0.000
Br 0.209 0.209 0.581
Br 0.791 0.791 0.419
Br 0.239 0.239 0.000
Br 0.761 0.761 0.000
Br 0.761 0.239 0.000
Br 0.239 0.761 0.000
Rb 0.750 0.250 0.500
Rb 0.250 0.750 0.500
Ti 0.000 0.000 0.000

---

[10]
First-principles (GGA-PBE) data for a geometry-optimized Rb2US2Br2 structure, as listed in the Alexandria database.

Computed properties:
- Theoretical density: 4.24 g/cm3
- Raw formation energy: -1519 meV/atom

Cell lengths 5.295, 5.295, 9.601 Å; angles 106.01, 106.01, 90.00 degrees
Each line ends with the local moment (μB).
Fractional coordinates of all 7 atoms:
Rb 0.367 0.367 0.734  0.00
Rb 0.633 0.633 0.266  0.00
U 0.000 0.000 0.000  2.08
S 0.000 0.500 0.000  -0.07
S 0.500 0.000 0.000  -0.07
Br 0.165 0.165 0.330  -0.01
Br 0.835 0.835 0.670  -0.01

---

[11]
First-principles (GGA-PBE) data for a geometry-optimized Rb2YSBr6 structure, as listed in the Alexandria database.

Computed properties:
- Theoretical density: 3.31 g/cm3
- Raw formation energy: -1210 meV/atom

Cell lengths 7.745, 7.745, 8.467 Å; angles 62.78, 62.78, 90.00 degrees
Each line ends with the local moment (μB).
Fractional coordinates of all 10 atoms:
Y 0.000 0.000 0.000  0.11
S 0.500 0.500 0.000  0.45
Br 0.216 0.216 0.569  0.00
Br 0.784 0.784 0.431  0.00
Br 0.256 0.256 0.000  0.04
Br 0.744 0.744 0.000  0.04
Br 0.744 0.256 0.000  0.03
Br 0.256 0.744 0.000  0.03
Rb 0.750 0.250 0.500  0.00
Rb 0.250 0.750 0.500  0.00

---

[12]
First-principles (GGA-PBE) data for a geometry-optimized Rb2ZnSBr structure, as listed in the Alexandria database.

Computed properties:
- Theoretical density: 2.70 g/cm3
- Raw formation energy: -288 meV/atom

Cell lengths 6.557, 4.973, 6.557 Å; angles 90.00, 90.00, 90.00 degrees
Each line ends with the local moment (μB).
Fractional coordinates of all 5 atoms:
S 0.500 0.500 0.500  0.22
Zn 0.000 0.000 0.000  0.01
Br 0.000 0.500 0.000  0.01
Rb 0.000 0.000 0.500  0.00
Rb 0.500 0.000 0.000  0.00

---

[13]
First-principles (GGA-PBE) data for a geometry-optimized Rb6Sb2Br structure, as listed in the Alexandria database.

Computed properties:
- Theoretical density: 3.01 g/cm3
- Raw formation energy: -532 meV/atom

Cell lengths 9.033, 7.875, 7.884 Å; angles 119.96, 74.40, 90.00 degrees
Each line ends with the local moment (μB).
Fractional coordinates of all 9 atoms:
Rb 0.329 0.658 0.814  0.00
Rb 0.105 0.211 0.423  0.01
Rb 0.329 0.157 0.814  0.00
Rb 0.671 0.342 0.186  0.00
Rb 0.895 0.789 0.577  0.01
Rb 0.671 0.843 0.186  0.00
Sb 0.310 0.654 0.308  0.15
Sb 0.690 0.346 0.692  0.15
Br 0.000 0.000 0.000  0.01

---

[14]
First-principles (GGA-PBE) data for a geometry-optimized RbSb4Br12 structure, as listed in the Alexandria database.

Computed properties:
- Theoretical density: 3.83 g/cm3
- Raw formation energy: -655 meV/atom

Cell lengths 9.520, 9.520, 9.520 Å; angles 109.47, 109.47, 109.47 degrees
Fractional coordinates of all 17 atoms:
Rb 0.000 0.000 0.000
Sb 0.000 0.500 0.000
Sb 0.500 0.000 0.000
Sb 0.500 0.500 0.500
Sb 0.000 0.000 0.500
Br 0.804 0.289 0.093
Br 0.289 0.486 0.196
Br 0.907 0.196 0.711
Br 0.289 0.093 0.804
Br 0.093 0.804 0.289
Br 0.711 0.514 0.804
Br 0.486 0.196 0.289
Br 0.514 0.804 0.711
Br 0.711 0.907 0.196
Br 0.804 0.711 0.514
Br 0.196 0.289 0.486
Br 0.196 0.711 0.907

---

[15]
First-principles (GGA-PBE) data for a geometry-optimized Rb3SbBr6 structure, as listed in the Alexandria database.

Computed properties:
- Offset from the most stable computed form: 63.6 meV/atom
- Theoretical density: 3.20 g/cm3
- Raw formation energy: -1259 meV/atom

Cell lengths 8.571, 8.571, 8.571 Å; angles 60.00, 60.00, 60.00 degrees
Fractional coordinates of all 10 atoms:
Rb 0.750 0.750 0.750
Rb 0.250 0.250 0.250
Rb 0.500 0.500 0.500
Sb 0.000 0.000 0.000
Br 0.768 0.232 0.232
Br 0.232 0.232 0.768
Br 0.232 0.768 0.768
Br 0.232 0.768 0.232
Br 0.768 0.232 0.768
Br 0.768 0.768 0.232

---

[16]
First-principles (GGA-PBE) data for a geometry-optimized RbSbBr2 structure, as listed in the Alexandria database.

Computed properties:
- Offset from the most stable computed form: 268.5 meV/atom
- Theoretical density: 4.49 g/cm3
- Raw formation energy: -450 meV/atom

Cell lengths 5.771, 5.771, 5.771 Å; angles 60.00, 60.00, 60.00 degrees
Each line ends with the local moment (μB).
Fractional coordinates of all 4 atoms:
Sb 0.500 0.500 0.500  0.69
Br 0.250 0.250 0.250  0.11
Br 0.750 0.750 0.750  0.11
Rb 0.000 0.000 0.000  0.01

---

[17]
First-principles (GGA-PBE) data for a geometry-optimized Rb4SbBr structure, as listed in the Alexandria database.

Computed properties:
- Theoretical density: 2.71 g/cm3
- Raw formation energy: -795 meV/atom

Cell lengths 8.521, 8.934, 10.544 Å; angles 111.76, 110.40, 97.53 degrees
Fractional coordinates of all 12 atoms:
Rb 0.992 0.254 0.955
Rb 0.755 0.628 0.571
Rb 0.464 0.702 0.955
Rb 0.315 0.943 0.571
Rb 0.685 0.057 0.429
Rb 0.536 0.298 0.045
Rb 0.245 0.372 0.429
Rb 0.008 0.746 0.045
Sb 0.380 0.630 0.260
Sb 0.620 0.370 0.740
Br 0.167 0.917 0.833
Br 0.833 0.083 0.167

---

[18]
First-principles (GGA-PBE) data for a geometry-optimized Rb3SbBr structure, as listed in the Alexandria database.

Computed properties:
- Offset from the most stable computed form: 0.0 meV/atom
- Theoretical density: 2.87 g/cm3
- Raw formation energy: -682 meV/atom

Cell lengths 6.422, 6.422, 6.422 Å; angles 90.00, 90.00, 90.00 degrees
Each line ends with the local moment (μB).
Fractional coordinates of all 5 atoms:
Sb 0.500 0.500 0.500  0.32
Br 0.000 0.000 0.000  0.00
Rb 0.000 0.500 0.000  0.00
Rb 0.000 0.000 0.500  0.00
Rb 0.500 0.000 0.000  0.00

---

[19]
First-principles (GGA-PBE) data for a geometry-optimized RbSbBr2 structure, as listed in the Alexandria database.

Computed properties:
- Offset from the most stable computed form: 456.6 meV/atom
- Theoretical density: 4.26 g/cm3
- Raw formation energy: -261 meV/atom

Cell lengths 11.331, 11.331, 11.331 Å; angles 19.60, 19.60, 19.60 degrees
Fractional coordinates of all 4 atoms:
Sb 0.500 0.500 0.500
Br 0.905 0.905 0.905
Br 0.095 0.095 0.095
Rb 0.000 0.000 0.000

---

[20]
First-principles (GGA-PBE) data for a geometry-optimized RbSb2Br8 structure, as listed in the Alexandria database.

Computed properties:
- Offset from the most stable computed form: 11.8 meV/atom
- Theoretical density: 3.02 g/cm3
- Raw formation energy: -647 meV/atom

Cell lengths 6.363, 9.823, 9.824 Å; angles 120.00, 90.01, 90.01 degrees
Fractional coordinates of all 11 atoms:
Rb 0.000 0.000 0.000
Sb 0.326 0.333 0.667
Sb 0.674 0.667 0.333
Br 0.275 0.667 0.333
Br 0.725 0.333 0.667
Br 0.705 0.820 0.175
Br 0.295 0.175 0.355
Br 0.295 0.645 0.820
Br 0.295 0.180 0.825
Br 0.705 0.825 0.645
Br 0.705 0.355 0.180

---

[21]
First-principles (GGA-PBE) data for a geometry-optimized RbSbBr4 structure, as listed in the Alexandria database.

Computed properties:
- Offset from the most stable computed form: 0.0 meV/atom
- Theoretical density: 3.09 g/cm3
- Raw formation energy: -1014 meV/atom

Cell lengths 7.363, 8.921, 11.138 Å; angles 119.72, 116.49, 73.24 degrees
Fractional coordinates of all 12 atoms:
Rb 0.419 0.669 0.339
Rb 0.581 0.331 0.661
Sb 0.315 0.065 0.130
Sb 0.685 0.935 0.870
Br 0.940 0.134 0.885
Br 0.794 0.641 0.664
Br 0.445 0.751 0.885
Br 0.370 0.022 0.664
Br 0.630 0.978 0.336
Br 0.555 0.249 0.115
Br 0.206 0.359 0.336
Br 0.060 0.866 0.115

---

[22]
First-principles (GGA-PBE) data for a geometry-optimized Rb5Sb2Br12 structure, as listed in the Alexandria database.

Computed properties:
- Theoretical density: 3.22 g/cm3
- Raw formation energy: -1134 meV/atom

Cell lengths 8.189, 10.426, 11.282 Å; angles 107.01, 90.00, 113.13 degrees
Each line ends with the local moment (μB).
Fractional coordinates of all 19 atoms:
Rb 0.295 0.589 0.646  0.00
Rb 0.309 0.617 0.161  0.00
Rb 0.000 0.000 0.500  0.00
Rb 0.691 0.383 0.839  0.00
Rb 0.705 0.411 0.354  0.00
Sb 0.750 0.000 0.000  0.00
Sb 0.250 0.000 0.000  0.00
Br 0.006 0.013 0.180  0.00
Br 0.102 0.694 0.929  0.00
Br 0.591 0.694 0.929  0.00
Br 0.131 0.710 0.433  0.20
Br 0.579 0.710 0.433  0.20
Br 0.495 0.990 0.816  0.00
Br 0.505 0.010 0.184  0.00
Br 0.869 0.290 0.567  0.20
Br 0.421 0.290 0.567  0.20
Br 0.898 0.306 0.071  0.00
Br 0.409 0.306 0.071  0.00
Br 0.994 0.987 0.820  0.00

---

[23]
First-principles (GGA-PBE) data for a geometry-optimized RbSb2Br6 structure, as listed in the Alexandria database.

Computed properties:
- Offset from the most stable computed form: 32.4 meV/atom
- Theoretical density: 3.53 g/cm3
- Raw formation energy: -727 meV/atom

Cell lengths 7.226, 7.798, 7.798 Å; angles 120.00, 90.00, 90.00 degrees
Fractional coordinates of all 9 atoms:
Rb 0.000 0.000 0.000
Sb 0.500 0.667 0.333
Sb 0.500 0.333 0.667
Br 0.713 0.631 0.631
Br 0.287 0.631 0.000
Br 0.287 0.000 0.631
Br 0.713 0.369 0.000
Br 0.287 0.369 0.369
Br 0.713 0.000 0.369